1.
First-principles (PBE) data for Ba6AgAu3 after structural relaxation, as listed in the Alexandria database.

D(E_F) = 6.65 states/eV/f.u.
ΔH_f (0 K) = -0.49 eV/atom

abc: 13.6877 4.8093 13.9636
angles: 90.00 108.97 90.00
Space group P2_1/m (No. 11)
Asymmetric unit:
1 Ba 0.0335 0.2500 0.3906 [2 per cell]
2 Ba 0.1042 0.2500 0.9394 [2 per cell]
3 Ba 0.2326 0.7500 0.2712 [2 per cell]
4 Ba 0.2963 0.7500 0.7573 [2 per cell]
5 Ba 0.3846 0.2500 0.5410 [2 per cell]
6 Ba 0.4267 0.7500 0.0960 [2 per cell]
7 Ag 0.4467 0.2500 0.3005 [2 per cell]
8 Au 0.0638 0.2500 0.1655 [2 per cell]
9 Au 0.1947 0.7500 0.5029 [2 per cell]
10 Au 0.3413 0.2500 0.9243 [2 per cell]

***

2.
First-principles (PBE) data for BaAgAu2 after structural relaxation, as listed in the Alexandria database.

D(E_F) = 2.35 states/eV/f.u.
ΔH_f (0 K) = -0.43 eV/atom

abc: 8.3338 4.8138 6.1095
angles: 90.00 117.10 90.00
Space group Cm (No. 8)
Asymmetric unit:
1 Ba 0.0000 0.0000 0.0000 [2 per cell]
2 Ag 0.2984 0.5000 0.3963 [2 per cell]
3 Au 0.2047 0.0000 0.6154 [2 per cell]
4 Au 0.4933 0.0000 0.4813 [2 per cell]

***

3.
First-principles (PBE) data for Ba8AgAu4 after structural relaxation, as listed in the Alexandria database.

D(E_F) = 10.76 states/eV/f.u.
ΔH_f (0 K) = -0.47 eV/atom

abc: 20.8891 4.7619 15.1571
angles: 90.00 131.57 90.00
Space group Cm (No. 8)
Asymmetric unit:
1 Ba 0.0000 0.0000 0.0000 [2 per cell]
2 Ba 0.0024 0.0000 0.5643 [2 per cell]
3 Ba 0.0752 0.0000 0.3577 [2 per cell]
4 Ba 0.1392 0.5000 0.9152 [2 per cell]
5 Ba 0.2130 0.5000 0.2896 [2 per cell]
6 Ba 0.2768 0.0000 0.8470 [2 per cell]
7 Ba 0.3498 0.0000 0.6406 [2 per cell]
8 Ba 0.3523 0.0000 0.2050 [2 per cell]
9 Ag 0.1755 0.5000 0.6021 [2 per cell]
10 Au 0.3548 0.0000 0.4269 [2 per cell]
11 Au 0.3637 0.5000 0.0585 [2 per cell]
12 Au 0.4886 0.0000 0.1465 [2 per cell]
13 Au 0.4973 0.5000 0.7781 [2 per cell]

***

4.
First-principles (PBE) data for Ba3Ag3Au2 after structural relaxation, as listed in the Alexandria database.

D(E_F) = 3.92 states/eV/f.u.
ΔH_f (0 K) = -0.47 eV/atom

abc: 4.8323 12.1190 17.4553
angles: 90.00 90.00 90.00
Space group Cmcm (No. 63)
Asymmetric unit:
1 Ba 0.0000 0.1042 0.2500 [4 per cell]
2 Ba 0.0000 0.3741 0.0894 [8 per cell]
3 Ag 0.0000 0.0868 0.0525 [8 per cell]
4 Ag 0.0000 0.1865 0.7500 [4 per cell]
5 Au 0.0000 0.3294 0.6159 [8 per cell]

***

- ΔH_f (0 K) of number 1 (Ba6AgAu3)?
  -0.49 eV/atom

***

- Which value of D(E_F) does entry 4 give?
  3.92 states/eV/f.u.

***

Copy entry 3 word for word.
First-principles (PBE) data for Ba8AgAu4 after structural relaxation, as listed in the Alexandria database.

D(E_F) = 10.76 states/eV/f.u.
ΔH_f (0 K) = -0.47 eV/atom

abc: 20.8891 4.7619 15.1571
angles: 90.00 131.57 90.00
Space group Cm (No. 8)
Asymmetric unit:
1 Ba 0.0000 0.0000 0.0000 [2 per cell]
2 Ba 0.0024 0.0000 0.5643 [2 per cell]
3 Ba 0.0752 0.0000 0.3577 [2 per cell]
4 Ba 0.1392 0.5000 0.9152 [2 per cell]
5 Ba 0.2130 0.5000 0.2896 [2 per cell]
6 Ba 0.2768 0.0000 0.8470 [2 per cell]
7 Ba 0.3498 0.0000 0.6406 [2 per cell]
8 Ba 0.3523 0.0000 0.2050 [2 per cell]
9 Ag 0.1755 0.5000 0.6021 [2 per cell]
10 Au 0.3548 0.0000 0.4269 [2 per cell]
11 Au 0.3637 0.5000 0.0585 [2 per cell]
12 Au 0.4886 0.0000 0.1465 [2 per cell]
13 Au 0.4973 0.5000 0.7781 [2 per cell]